This record from Alexandria via LeMat-Bulk describes a relaxed Cu2MoOs crystal. The functional is PBE.

Lattice parameters (Å, degrees): 3.6708 3.6708 8.1061 90.00 90.00 90.00
Space group I4/mmm (No. 139)
Inequivalent atoms, fractional coordinates:
Cu (0.0000, 0.5000, 0.2500) [4 per cell]
Mo (0.0000, 0.0000, 0.0000) [2 per cell]
Os (0.0000, 0.0000, 0.5000) [2 per cell]

Calculated values
For the total DFT energy (no corrections), the calculation gives -58.3 eV for the cell shown.


This record from Alexandria via LeMat-Bulk describes a relaxed CuMoOs2 crystal. The functional is PBE.

Lattice parameters (Å, degrees): 7.0137 7.0137 5.2556 90.00 90.00 90.00
Space group I-42d (No. 122)
Inequivalent atoms, fractional coordinates:
Cu (0.0000, 0.0000, 0.0000) [4 per cell]
Mo (0.0000, 0.0000, 0.5000) [4 per cell]
Os (0.2263, 0.2500, 0.6250) [8 per cell]

Calculated values
The energy above the most stable polymorph in this dataset comes out at 0.7345 eV per atom.


This record from Alexandria via LeMat-Bulk describes a relaxed CuMo3Os crystal. The functional is PBE.

Lattice parameters (Å, degrees): 4.4251 4.4251 4.4251 90.00 90.00 90.00
Space group Pm-3m (No. 221)
Inequivalent atoms, fractional coordinates:
Cu (0.0000, 0.0000, 0.0000) [1 per cell]
Mo (0.0000, 0.0000, 0.5000) [3 per cell]
Os (0.5000, 0.5000, 0.5000) [1 per cell]

Calculated values
The energy above the most stable polymorph in this dataset comes out at 0.0090 eV per atom.


This record from Alexandria via LeMat-Bulk describes a relaxed Cu2MoOs crystal. The functional is PBE.

Lattice parameters (Å, degrees): 2.7489 3.7643 5.3466 90.00 90.00 90.00
Space group Pmm2 (No. 25)
Inequivalent atoms, fractional coordinates:
Cu (0.0000, 0.0000, 0.0000) [1 per cell]
Cu (0.5000, 0.5000, 0.2137) [1 per cell]
Mo (0.0000, 0.0000, 0.4935) [1 per cell]
Os (0.5000, 0.5000, 0.7262) [1 per cell]

Calculated values
For the total DFT energy (no corrections), the calculation gives -29.3 eV for the cell shown.